1.
An optimized crystal structure of AcLaHo2Sb4, computed with PBE. Values from VASP.

Properties
Uncorrected formation energy, meV per atom: -1162.3

Cell and atoms, written as Quantum ESPRESSO input:
```
&SYSTEM
  ibrav = 0, nat = 8, ntyp = 4
/
ATOMIC_SPECIES
Ac 227.00 Ac.upf
La 138.91 La.upf
Ho 164.93 Ho.upf
Sb 121.76 Sb.upf
CELL_PARAMETERS angstrom
7.855 0.000 0.000
0.000 4.550 0.000
-2.632 0.000 7.424
ATOMIC_POSITIONS crystal
Ac 0.000 0.000 0.000
La 0.000 0.500 0.500
Ho 0.500 0.000 0.500
Ho 0.500 0.500 0.000
Sb 0.268 0.000 0.752
Sb 0.271 0.500 0.262
Sb 0.729 0.500 0.738
Sb 0.732 0.000 0.248
```

=====

2.
An optimized crystal structure of IF4, computed with PBE. Values from VASP.

Properties
Relative energy among the computed polymorphs, meV per atom: 0
Uncorrected formation energy, meV per atom: -1351.2

Cell and atoms, written as Quantum ESPRESSO input:
```
&SYSTEM
  ibrav = 0, nat = 10, ntyp = 2
/
ATOMIC_SPECIES
I 126.90 I.upf
F 19.00 F.upf
CELL_PARAMETERS angstrom
0.000 5.121 5.681
3.075 0.000 5.681
3.075 5.121 0.000
ATOMIC_POSITIONS crystal
I 0.125 0.125 0.125
I 0.875 0.875 0.875
F 0.023 0.476 0.228
F 0.227 0.772 0.524
F 0.228 0.773 0.023
F 0.476 0.023 0.773
F 0.524 0.977 0.227
F 0.772 0.227 0.977
F 0.773 0.228 0.476
F 0.977 0.524 0.772
```

=====

3.
An optimized crystal structure of Sm6Ru2RhCl3, computed with PBE. Values from VASP.

Properties
Uncorrected formation energy, meV per atom: -980.2

Cell and atoms, written as Quantum ESPRESSO input:
```
&SYSTEM
  ibrav = 0, nat = 12, ntyp = 4
/
ATOMIC_SPECIES
Sm 150.36 Sm.upf
Ru 101.07 Ru.upf
Rh 102.91 Rh.upf
Cl 35.45 Cl.upf
CELL_PARAMETERS angstrom
3.467 -6.010 0.000
3.467 6.010 0.000
-2.313 0.000 7.559
ATOMIC_POSITIONS crystal
Sm 0.093 0.432 0.795
Sm 0.230 0.230 0.206
Sm 0.432 0.093 0.795
Sm 0.568 0.907 0.205
Sm 0.770 0.770 0.794
Sm 0.907 0.568 0.205
Ru 0.166 0.834 0.000
Ru 0.834 0.166 0.000
Rh 0.500 0.500 0.000
Cl 0.000 0.000 0.500
Cl 0.330 0.670 0.500
Cl 0.670 0.330 0.500
```

=====

4.
An optimized crystal structure of SrTeBr3, computed with PBE. Values from VASP.

Properties
Relative energy among the computed polymorphs, meV per atom: 256
Uncorrected formation energy, meV per atom: -587.6

Cell and atoms, written as Quantum ESPRESSO input:
```
&SYSTEM
  ibrav = 0, nat = 5, ntyp = 3
/
ATOMIC_SPECIES
Sr 87.62 Sr.upf
Te 127.60 Te.upf
Br 79.90 Br.upf
CELL_PARAMETERS angstrom
5.857 0.000 0.000
0.000 5.857 0.000
0.000 0.000 5.857
ATOMIC_POSITIONS crystal
Sr 0.000 0.000 0.000
Te 0.500 0.500 0.500
Br 0.000 0.500 0.500
Br 0.500 0.000 0.500
Br 0.500 0.500 0.000
```

=====

5.
An optimized crystal structure of ZnNiBr, computed with PBE. Values from VASP.

Properties
Relative energy among the computed polymorphs, meV per atom: 120
Uncorrected formation energy, meV per atom: -118.8

Cell and atoms, written as Quantum ESPRESSO input:
```
&SYSTEM
  ibrav = 0, nat = 6, ntyp = 3
/
ATOMIC_SPECIES
Zn 65.41 Zn.upf
Ni 58.69 Ni.upf
Br 79.90 Br.upf
CELL_PARAMETERS angstrom
5.218 -3.078 0.000
5.218 3.078 0.000
-0.105 0.000 4.157
ATOMIC_POSITIONS crystal
Zn 0.000 0.000 0.000
Zn 0.707 0.293 0.500
Ni 0.163 0.067 0.509
Ni 0.933 0.837 0.491
Br 0.249 0.410 0.603
Br 0.590 0.751 0.397
```

=====

6.
An optimized crystal structure of La3VGa, computed with PBE. Values from VASP.

Properties
Relative energy among the computed polymorphs, meV per atom: 0
ΔE_f, kJ/mol of formula units: 124

Cell and atoms, written as Quantum ESPRESSO input:
```
&SYSTEM
  ibrav = 0, nat = 5, ntyp = 3
/
ATOMIC_SPECIES
La 138.91 La.upf
V 50.94 V.upf
Ga 69.72 Ga.upf
CELL_PARAMETERS angstrom
5.338 0.000 0.000
0.000 5.338 0.000
0.000 0.000 5.338
ATOMIC_POSITIONS crystal
La 0.000 0.000 0.500
La 0.000 0.500 0.000
La 0.500 0.000 0.000
V 0.000 0.000 0.000
Ga 0.500 0.500 0.500
```

=====

The records above yield magnetization values of 0.0000, 0.0000, 0.0000, 0.0000, 0.0809, 0.1460 μB/atom, respectively.